Below is a relaxed structure of Pm4Y4Ho3, with properties calculated at the PBE level.

Results
D(E_F)   19.09 states/eV per cell
M_tot   0.00 Bohr magnetons per cell
Space group   P-1 (2)
Density   6622 kg/m³
Energy of formation   0.053 eV per atom

```
11
Lattice="3.5379 0.0000 0.0000 -0.0001 5.6461 0.0000 -1.7662 -2.8181 17.9561" Properties=species:S:1:pos:R:3 pbc="T T T"
Pm -0.0002 0.0057 1.6421
Pm -0.0003 2.8261 6.4526
Pm 1.7720 0.0019 11.5034
Pm 1.7719 2.8223 16.3140
Y -0.0005 2.8288 3.2488
Y 0.0019 0.0028 8.3609
Y 1.7698 2.8252 9.5952
Y 1.7722 -0.0008 14.7073
Ho 0.0031 2.8254 13.0440
Ho 1.7689 2.8231 0.0000
Ho 1.7685 0.0026 4.9121
```

Below is a relaxed structure of MgBe2V, with properties calculated at the PBE level.

Results
D(E_F)   2.46 states/eV per cell
M_tot   0.00 Bohr magnetons per cell
Space group   Cm (8)
Density   3007 kg/m³
Energy of formation   0.170 eV per atom

```
8
Lattice="5.8140 -1.3605 0.0000 5.8140 1.3605 0.0000 -1.9580 0.0000 6.5112" Properties=species:S:1:pos:R:3 pbc="T T T"
Mg 0.0000 0.0000 0.0000
Mg 8.5463 0.0000 0.2650
Be 3.6878 0.0000 4.2188
Be 5.0497 0.0000 2.3134
Be 7.7984 0.0000 4.4331
Be 9.1967 0.0000 2.6969
V -0.1135 0.0000 4.3024
V 1.3749 0.0000 2.4885
```

Below is a relaxed structure of SbOs, with properties calculated at the PBE level.

Results
Formation energy from raw total energies   561 meV per atom
D(E_F)   2.90 states/eV per cell
M_tot   0.00 Bohr magnetons per cell
Space group   Cm (8)
Density   13416 kg/m³

```
6
Lattice="4.7387 -1.5543 0.0000 4.7387 1.5543 0.0000 -0.6337 0.0000 7.8641" Properties=species:S:1:pos:R:3 pbc="T T T"
Sb 0.0000 0.0000 0.0000
Sb 0.3997 0.0000 4.6775
Sb 2.6835 0.0000 2.1125
Os 2.9407 0.0000 5.8826
Os 5.3068 0.0000 2.3532
Os 6.2537 0.0000 7.6153
```

Below is a relaxed structure of Cd2FeBiI, with properties calculated at the PBE level.

Results
Formation energy from raw total energies   936 meV per atom
D(E_F)   4.94 states/eV per cell
M_tot   2.83 Bohr magnetons per cell
Space group   P4/mmm (123)
Density   6337 kg/m³

```
5
Lattice="5.8597 0.0000 0.0000 0.0000 5.8597 0.0000 0.0000 0.0000 4.7054" Properties=species:S:1:pos:R:3 pbc="T T T"
Cd 0.0000 2.9298 0.0000
Cd 2.9298 0.0000 0.0000
Fe 0.0000 0.0000 2.3527
Bi 2.9298 2.9298 2.3527
I 0.0000 0.0000 0.0000
```

Below is a relaxed structure of Mn3Tc, with properties calculated at the PBE level.

Results
D(E_F)   9.94 states/eV per cell
M_tot   7.66 Bohr magnetons per cell
Space group   Pm-3n (223)
Density   8907 kg/m³
Energy of formation   0.102 eV per atom

```
8
Lattice="4.6104 0.0000 0.0000 0.0000 4.6104 0.0000 0.0000 0.0000 4.6104" Properties=species:S:1:pos:R:3 pbc="T T T"
Mn 0.0000 1.1526 2.3052
Mn 0.0000 3.4578 2.3052
Mn 1.1526 2.3052 0.0000
Mn 2.3052 0.0000 1.1526
Mn 2.3052 0.0000 3.4578
Mn 3.4578 2.3052 0.0000
Tc 0.0000 0.0000 0.0000
Tc 2.3052 2.3052 2.3052
```

Below is a relaxed structure of Mg2CdTc, with properties calculated at the PBE level.

Results
D(E_F)   2.52 states/eV per cell
M_tot   0.00 Bohr magnetons per cell
Space group   C2/m (12)
Density   5922 kg/m³
Energy of formation   0.207 eV per atom

```
4
Lattice="4.7605 -1.4350 0.0000 4.7605 1.4350 0.0000 -0.6992 0.0000 5.3161" Properties=species:S:1:pos:R:3 pbc="T T T"
Mg 2.1767 0.0000 1.2197
Mg 6.6451 0.0000 4.0964
Cd -0.3496 0.0000 2.6580
Tc 4.7605 0.0000 0.0000
```

Copy entry 5 word for word.
Below is a relaxed structure of Mn3Tc, with properties calculated at the PBE level.

Results
D(E_F)   9.94 states/eV per cell
M_tot   7.66 Bohr magnetons per cell
Space group   Pm-3n (223)
Density   8907 kg/m³
Energy of formation   0.102 eV per atom

```
8
Lattice="4.6104 0.0000 0.0000 0.0000 4.6104 0.0000 0.0000 0.0000 4.6104" Properties=species:S:1:pos:R:3 pbc="T T T"
Mn 0.0000 1.1526 2.3052
Mn 0.0000 3.4578 2.3052
Mn 1.1526 2.3052 0.0000
Mn 2.3052 0.0000 1.1526
Mn 2.3052 0.0000 3.4578
Mn 3.4578 2.3052 0.0000
Tc 0.0000 0.0000 0.0000
Tc 2.3052 2.3052 2.3052
```